Entry 1:
First-principles (GGA-PBE) data for a relaxed structure of ScAl2Si2, as listed in Alexandria.

Lattice parameters (Å, degrees): 7.2975 7.2975 3.1939 90.00 90.00 90.00
Space group P4/mbm (No. 127)
One atom of each set of equivalent atoms:
Sc 0.0000 0.0000 0.0000 x2
Al 0.1264 0.3736 0.0000 x4
Si 0.1708 0.6708 0.5000 x4

density of states at the Fermi level	0.5322	states/eV/atom
raw formation energy	-20	kJ/mol of formula units
E	-4.97	eV per atom

---

Entry 2:
First-principles (GGA-PBE) data for a relaxed structure of Zr6HPb2O, as listed in Alexandria.

Lattice parameters (Å, degrees): 6.3144 6.3144 9.4085 90.00 90.00 90.00
Space group I4/mmm (No. 139)
One atom of each set of equivalent atoms:
Zr 0.0000 0.0000 0.2471 x4
Zr 0.2463 0.2463 0.0000 x8
H 0.0000 0.0000 0.0000 x2
Pb 0.0000 0.5000 0.2500 x4
O 0.0000 0.0000 0.5000 x2

density of states at the Fermi level	1.0439	states/eV/atom
E	-7.37	eV per atom

---

Q: What is the formula in the second record?
A: Zr6HPb2O